This record from the Alexandria database describes a geometry-optimized Ce2Nd2GaSi4 structure. The functional is PBE.

```
Ce2Nd2GaSi4
1.0
-3.530 3.530 4.259
3.530 -3.530 4.259
3.530 3.530 -4.259
Ce Nd Ga Si
2 2 1 4
Cartesian
0.000 0.000 1.446 Ce
0.000 0.000 7.071 Ce
3.530 0.000 2.129 Nd
0.000 3.530 2.129 Nd
0.000 0.000 4.259 Ga
1.806 1.806 0.000 Si
1.724 -1.724 4.259 Si
-1.724 1.724 4.259 Si
1.724 1.724 4.259 Si
```

## Properties
The calculation puts the mass density at 5874 kg/m3. Its uncorrected formation energy is -0.18 eV/atom. The space-group type is No. 139.